Compound: Ba2TlSnS4
Source: the Alexandria database
Functional: PBE
Structure: relaxed

Cell: 8.767 8.767 8.767 Å, 120.52 119.60 89.89°
Positions (direct):
Ba  0.000  0.000  0.000
Ba  0.500  0.000  0.000
Ba  0.500  0.000  0.500
Ba  0.500  0.500  0.500
Tl  0.000  0.500  0.500
Tl  0.500  0.500  0.000
Sn  0.000  0.000  0.500
Sn  0.000  0.500  0.000
S  0.235  0.748  0.488
S  0.240  0.252  0.988
S  0.243  0.250  0.508
S  0.243  0.735  0.992
S  0.757  0.265  0.008
S  0.757  0.750  0.492
S  0.760  0.748  0.012
S  0.765  0.252  0.512

* DOS at the Fermi energy: 0.877 states/eV per atom
* total DFT energy (no corrections): -4.436 eV per atom
* symmetry: Imma (74)
* mass density: 5.1 g/cm³
* crystal system: orthorhombic